The following is a DFT calculation (PBE) of MnAuSe2 after structural relaxation.

Structure (extended XYZ):
```
8
Lattice="8.107 0.000 0.000 0.000 8.107 0.000 4.054 4.054 2.667" Properties=species:S:1:pos:R:3 pbc="T T T"
Mn 4.054 8.107 1.333
Mn 8.107 4.054 1.333
Au 4.054 4.054 1.333
Se 1.275 5.328 0.000
Se 2.779 1.275 0.000
Se 6.833 2.779 0.000
Se 5.328 6.833 0.000
Au 8.107 8.107 1.333
```

Summary:
The total energy comes out at -4.86 eV/atom. The raw formation energy comes out at -5 meV/atom. The space group is I4/mcm, No. 140.

=====

The following is a DFT calculation (PBE) of BeZnTe2 after structural relaxation.

Structure (extended XYZ):
```
4
Lattice="3.415 0.000 0.000 0.000 3.415 0.000 0.000 0.000 7.422" Properties=species:S:1:pos:R:3 pbc="T T T"
Be 1.707 1.707 5.567
Zn 1.707 1.707 1.856
Te 0.000 0.000 4.005
Te 0.000 0.000 7.129
```

Summary:
The total energy comes out at -2.36 eV/atom. The energy above the lowest structure with this stoichiometry comes out at 864 meV/atom. The raw formation energy comes out at 457 meV/atom. The space group is P4/mmm, No. 123.

=====

The following is a DFT calculation (PBE) of SiIr after structural relaxation.

Structure (extended XYZ):
```
2
Lattice="3.507 0.000 0.000 1.753 3.037 0.000 1.753 1.012 2.863" Properties=species:S:1:pos:R:3 pbc="T T T"
Si 3.507 2.025 1.432
Ir 0.000 0.000 0.000
```

Summary:
The total energy comes out at -7.17 eV/atom. The raw formation energy comes out at -31 meV/atom. The space group is Fm-3m, No. 225.